## TcRuRh2 (PBE)

Data for TcRuRh2 after structural relaxation.

abc: 3.812 3.812 3.895
angles: 90.00 90.00 90.00
Fractional positions:
Rh  0.000  0.000  0.000
Rh  0.500  0.500  0.000
Ru  0.500  0.000  0.500
Tc  0.000  0.500  0.500

The value obtained for the total energy is -8.5980 eV/atom. The size of the total moment is 0.0 μB per cell. Its formation energy is -0.05 eV/f.u. Its space group is No. 123. The calculation puts the energy above the lowest structure with this stoichiometry at 65 meV/atom.